The following is a PBE calculation of an optimized crystal structure of Nb2FeCu, from Alexandria.

The structure in CIF format:
```
data_Nb2FeCu
_chemical_formula_sum 'Nb2 Fe1 Cu1'
_cell_length_a 3.680
_cell_length_b 4.017
_cell_length_c 4.017
_cell_angle_alpha 90.00
_cell_angle_beta 90.00
_cell_angle_gamma 90.00
_space_group_name_H-M_alt 'P 1'
_space_group_IT_number 1
loop_
_space_group_symop_operation_xyz
'x,y,z'
loop_
_atom_site_label
_atom_site_fract_x
_atom_site_fract_y
_atom_site_fract_z
_atom_site_occupancy
Nb1 0.000 0.000 0.500 1
Nb2 0.000 0.500 0.000 1
Fe1 0.500 0.500 0.500 1
Cu1 0.500 0.000 0.000 1
```

Output
- Energy relative to the lowest polymorph listed for this composition: 2.4 meV per atom
- Crystal system: tetragonal
- Space-group type: P4/mmm (123)

***

The following is a PBE calculation of an optimized crystal structure of NbFeCu, from Alexandria.

The structure in CIF format:
```
data_NbFeCu
_chemical_formula_sum 'Nb2 Fe2 Cu2'
_cell_length_a 4.089
_cell_length_b 4.089
_cell_length_c 6.775
_cell_angle_alpha 72.44
_cell_angle_beta 72.44
_cell_angle_gamma 60.00
_space_group_name_H-M_alt 'P 1'
_space_group_IT_number 1
loop_
_space_group_symop_operation_xyz
'x,y,z'
loop_
_atom_site_label
_atom_site_fract_x
_atom_site_fract_y
_atom_site_fract_z
_atom_site_occupancy
Fe1 0.298 0.298 0.105 1
Fe2 0.702 0.702 0.895 1
Cu1 0.162 0.162 0.515 1
Cu2 0.838 0.838 0.485 1
Nb1 0.422 0.422 0.735 1
Nb2 0.578 0.578 0.265 1
```

Output
- Energy relative to the lowest polymorph listed for this composition: 344.1 meV per atom
- Crystal system: trigonal
- Space-group type: R-3m (166)

***

no.,final energy (eV/atom),formation enthalpy at 0 K (eV per atom)
1,-8.0933,0.081
2,-7.1101,0.433